A geometry-optimized SrMoRh2 structure. Source: Alexandria via LeMat-Bulk, functional PBE-GGA.

Cell lengths 3.108, 3.108, 7.798 Å; angles 90.00, 90.00, 90.00 degrees
Space group P4/mmm (No. 123)
One atom of each set of equivalent atoms:
Sr  0.000  0.000  0.000 x1
Mo  0.000  0.000  0.500 x1
Rh  0.500  0.500  0.305 x2

V	75	Å³/cell
polymorph energy (0 for the lowest one)	0.000	eV per atom
DFT formation energy	0.1	eV per formula unit
final energy	-27.134	eV/cell



A geometry-optimized PrEr12Tm6 structure. Source: Alexandria via LeMat-Bulk, functional PBE-GGA.

Cell lengths 14.7895, 14.7895, 10.0916 Å; angles 90.00, 90.00, 120.00 degrees
Space group R-3m (No. 166, hexagonal axes)
One atom of each set of equivalent atoms:
Pr  0.0000  0.0000  0.0000 x3
Er  0.0000  0.3884  0.5000 x18
Er  0.0744  0.1487  0.2901 x18
Tm  0.0548  0.5274  0.2181 x18

V	1912	Å³/cell
polymorph energy (0 for the lowest one)	0.274	eV per atom
DFT formation energy	8.3	eV per formula unit
final energy	-234.244	eV/cell



A geometry-optimized K2YPb structure. Source: Alexandria via LeMat-Bulk, functional PBE-GGA.

Cell lengths 5.230, 6.298, 9.985 Å; angles 90.00, 90.00, 90.00 degrees
Space group Imm2 (No. 44)
One atom of each set of equivalent atoms:
K  0.000  0.000  0.000 x2
K  0.000  0.500  0.218 x2
Y  0.000  0.000  0.430 x2
Pb  0.000  0.500  0.763 x2

V	329	Å³/cell
DFT formation energy	0.5	eV per formula unit
final energy	-23.656	eV/cell



A geometry-optimized Ni2TeMo structure. Source: Alexandria via LeMat-Bulk, functional PBE-GGA.

Cell lengths 4.0027, 4.0027, 13.7319 Å; angles 90.00, 90.00, 120.00 degrees
Space group R3m (No. 160, hexagonal axes)
One atom of each set of equivalent atoms:
Ni  0.0000  0.0000  0.0000 x3
Ni  0.0000  0.0000  0.2641 x3
Te  0.0000  0.0000  0.5104 x3
Mo  0.0000  0.0000  0.7168 x3

V	191	Å³/cell
energy relative to the elements, uncorrected	235	meV/atom
final energy	-73.791	eV/cell